Entry 1:
Entry from Alexandria via LeMat-Bulk: an optimized crystal structure of Sc4PaGa5 (PBE).

Properties
The calculation puts the total DFT energy (no corrections) at -0.406 Ry per atom. The total moment is 0.02 μB per formula unit. The formation energy is -504 kJ/mol of formula units.

a = 3.2048 Å, b = 3.2048 Å, c = 18.9100 Å
α = 90.00°, β = 90.00°, γ = 90.00°
With the nearest neighbours (Å) after each atom.
Space group P4/mmm (No. 123)
Unique sites:
Sc (0.0000, 0.0000, 0.0973)  8 Ga 2.92, 4 Sc 3.20
Sc (0.0000, 0.0000, 0.2914)  8 Ga 2.91-2.92, 4 Sc 3.20
Pa (0.0000, 0.0000, 0.5000)  8 Ga 3.09, 4 Pa 3.20
Ga (0.5000, 0.5000, 0.0000)  8 Sc 2.92, 4 Ga 3.20
Ga (0.5000, 0.5000, 0.1948)  8 Sc 2.91-2.92, 4 Ga 3.20
Ga (0.5000, 0.5000, 0.3892)  4 Sc 2.92, 4 Pa 3.09, 4 Ga 3.20


Entry 2:
Entry from Alexandria via LeMat-Bulk: an optimized crystal structure of Sc2PaGa6 (PBE).

Properties
The calculation puts the total DFT energy (no corrections) at -0.353 Ry per atom. The total moment is 0.97 μB per formula unit. The formation energy is -282 kJ/mol of formula units. The energy above the most stable polymorph in this dataset comes out at 133.3 meV/atom.

a = 4.1260 Å, b = 6.8484 Å, c = 12.8550 Å
α = 90.00°, β = 90.00°, γ = 90.00°
With the nearest neighbours (Å) after each atom.
Space group Immm (No. 71)
Unique sites:
Sc (0.0000, 0.0000, 0.1201)  10 Ga 2.81-3.06, 1 Sc 3.09
Pa (0.0000, 0.5000, 0.0000)  4 Ga 2.99
Ga (0.0000, 0.1964, 0.3116)  4 Ga 2.55-2.70, 1 Sc 2.81
Ga (0.0000, 0.3151, 0.5000)  3 Ga 2.53-2.55


Entry 3:
Entry from Alexandria via LeMat-Bulk: an optimized crystal structure of ScPaGa (PBE).

Properties
The calculation puts the total DFT energy (no corrections) at -0.477 Ry per atom. The total moment is 0.00 μB per formula unit. The formation energy is -60 kJ/mol of formula units. The energy above the most stable polymorph in this dataset comes out at 0.0 meV/atom.

a = 3.1344 Å, b = 3.1344 Å, c = 13.3157 Å
α = 90.00°, β = 90.00°, γ = 90.00°
With the nearest neighbours (Å) after each atom.
Space group I4mm (No. 107)
Unique sites:
Sc (0.0000, 0.0000, 0.0000)  4 Ga 2.94, 4 Sc 3.13
Pa (0.0000, 0.0000, 0.6910)  4 Ga 3.12, 4 Pa 3.13, 4 Sc 3.37
Ga (0.0000, 0.0000, 0.3554)  4 Sc 2.94, 4 Pa 3.12, 4 Ga 3.13


Entry 4:
Entry from Alexandria via LeMat-Bulk: an optimized crystal structure of Sc2PaGa3 (PBE).

Properties
The calculation puts the total DFT energy (no corrections) at -0.418 Ry per atom. The total moment is 0.03 μB per formula unit. The formation energy is -278 kJ/mol of formula units.

a = 3.1976 Å, b = 3.1976 Å, c = 11.5897 Å
α = 90.00°, β = 90.00°, γ = 90.00°
With the nearest neighbours (Å) after each atom.
Space group P4/mmm (No. 123)
Unique sites:
Sc (0.0000, 0.0000, 0.1583)  8 Ga 2.91-2.93, 4 Sc 3.20
Pa (0.0000, 0.0000, 0.5000)  8 Ga 3.09, 4 Pa 3.20
Ga (0.5000, 0.5000, 0.0000)  8 Sc 2.91, 4 Ga 3.20
Ga (0.5000, 0.5000, 0.3185)  4 Sc 2.93, 4 Pa 3.09, 4 Ga 3.20


Entry 5:
Entry from Alexandria via LeMat-Bulk: an optimized crystal structure of ScPaGa (PBE).

Properties
The calculation puts the total DFT energy (no corrections) at -0.468 Ry per atom. The total moment is 0.00 μB per formula unit. The formation energy is -24 kJ/mol of formula units. The energy above the most stable polymorph in this dataset comes out at 122.7 meV/atom.

a = 4.6585 Å, b = 4.6585 Å, c = 22.4085 Å
α = 90.00°, β = 90.00°, γ = 120.00°
With the nearest neighbours (Å) after each atom.
Space group R-3m (No. 166, hexagonal axes)
Unique sites:
Sc (0.0000, 0.0000, 0.2114)  4 Ga 2.83-2.90
Pa (0.0000, 0.0000, 0.3583)  3 Pa 2.91, 3 Ga 2.98
Ga (0.0000, 0.0000, 0.0822)  4 Sc 2.83-2.90, 3 Pa 2.98


Entry 6:
Entry from Alexandria via LeMat-Bulk: an optimized crystal structure of Sc2PaGa6 (PBE).

Properties
The calculation puts the total DFT energy (no corrections) at -0.363 Ry per atom. The total moment is 0.00 μB per formula unit. The formation energy is -398 kJ/mol of formula units. The energy above the most stable polymorph in this dataset comes out at 0.0 meV/atom.

a = 7.7418 Å, b = 7.7418 Å, c = 3.2552 Å
α = 90.00°, β = 90.00°, γ = 120.00°
With the nearest neighbours (Å) after each atom.
Space group P6/mmm (No. 191)
Unique sites:
Sc (0.3333, 0.6667, 0.0000)  12 Ga 3.03, 2 Sc 3.26
Pa (0.0000, 0.0000, 0.0000)  12 Ga 3.08, 2 Pa 3.26
Ga (0.0000, 0.3384, 0.5000)  3 Ga 2.50-2.62


Entry 7:
Entry from Alexandria via LeMat-Bulk: an optimized crystal structure of ScPaGa4 (PBE).

Properties
The calculation puts the total DFT energy (no corrections) at -0.365 Ry per atom. The total moment is 0.25 μB per formula unit. The formation energy is -182 kJ/mol of formula units. The energy above the most stable polymorph in this dataset comes out at 68.1 meV/atom.

a = 7.6928 Å, b = 7.6928 Å, c = 7.6928 Å
α = 90.00°, β = 90.00°, γ = 90.00°
With the nearest neighbours (Å) after each atom.
Space group F-43m (No. 216)
Unique sites:
Sc (0.0000, 0.0000, 0.0000)  12 Ga 3.19, 4 Pa 3.33
Pa (0.2500, 0.2500, 0.7500)  12 Ga 3.19, 4 Sc 3.33
Ga (0.1250, 0.1250, 0.3750)  6 Ga 2.72


Entry 8:
Entry from Alexandria via LeMat-Bulk: an optimized crystal structure of ScPa2Ga (PBE).

Properties
The calculation puts the total DFT energy (no corrections) at -0.504 Ry per atom. The total moment is 0.00 μB per formula unit. The formation energy is 88 kJ/mol of formula units. The energy above the most stable polymorph in this dataset comes out at 409.1 meV/atom.

a = 3.1209 Å, b = 3.1209 Å, c = 34.7936 Å
α = 90.00°, β = 90.00°, γ = 120.00°
With the nearest neighbours (Å) after each atom.
Space group R-3m (No. 166, hexagonal axes)
Unique sites:
Sc (0.0000, 0.0000, 0.0000)  6 Sc 3.12, 6 Pa 3.32
Pa (0.0000, 0.0000, 0.4134)  1 Ga 3.01, 6 Pa 3.12, 3 Sc 3.32
Ga (0.0000, 0.0000, 0.5000)  2 Pa 3.01, 6 Ga 3.12


Entry 9:
Entry from Alexandria via LeMat-Bulk: an optimized crystal structure of ScPaGaSn (PBE).

Properties
The calculation puts the total DFT energy (no corrections) at -0.439 Ry per atom. The total moment is 1.82 μB per formula unit. The formation energy is -101 kJ/mol of formula units.

a = 7.1846 Å, b = 7.1846 Å, c = 7.1846 Å
α = 90.00°, β = 90.00°, γ = 90.00°
With the nearest neighbours (Å) after each atom.
Space group F-43m (No. 216)
Unique sites:
Sc (0.0000, 0.0000, 0.0000)  4 Sn 3.11, 4 Ga 3.11
Pa (0.0000, 0.0000, 0.5000)  4 Ga 3.11, 4 Sn 3.11
Ga (0.2500, 0.2500, 0.2500)  4 Sc 3.11, 4 Pa 3.11
Sn (0.2500, 0.2500, 0.7500)  4 Pa 3.11, 4 Sc 3.11


Entry 10:
Entry from Alexandria via LeMat-Bulk: an optimized crystal structure of ScPaGaTc (PBE).

Properties
The calculation puts the total DFT energy (no corrections) at -0.565 Ry per atom. The total moment is 0.00 μB per formula unit. The formation energy is -150 kJ/mol of formula units. The energy above the most stable polymorph in this dataset comes out at 0.0 meV/atom.

a = 3.3008 Å, b = 3.3008 Å, c = 7.2846 Å
α = 90.00°, β = 90.00°, γ = 90.00°
With the nearest neighbours (Å) after each atom.
Space group P4mm (No. 99)
Unique sites:
Sc (0.0000, 0.0000, 0.0000)  4 Tc 2.83, 4 Ga 2.93
Pa (0.0000, 0.0000, 0.4545)  4 Tc 2.89, 4 Ga 3.21
Ga (0.5000, 0.5000, 0.7573)  4 Sc 2.93, 4 Pa 3.21
Tc (0.5000, 0.5000, 0.2199)  4 Sc 2.83, 4 Pa 2.89


Entry 11:
Entry from Alexandria via LeMat-Bulk: an optimized crystal structure of ScPaGaTc (PBE).

Properties
The calculation puts the total DFT energy (no corrections) at -0.555 Ry per atom. The total moment is 0.00 μB per formula unit. The formation energy is -95 kJ/mol of formula units. The energy above the most stable polymorph in this dataset comes out at 141.8 meV/atom.

a = 6.8235 Å, b = 6.8235 Å, c = 6.8235 Å
α = 90.00°, β = 90.00°, γ = 90.00°
With the nearest neighbours (Å) after each atom.
Space group F-43m (No. 216)
Unique sites:
Sc (0.0000, 0.0000, 0.0000)  4 Tc 2.95, 4 Ga 2.95
Pa (0.0000, 0.0000, 0.5000)  4 Ga 2.95, 4 Tc 2.95
Ga (0.2500, 0.2500, 0.2500)  4 Pa 2.95, 4 Sc 2.95
Tc (0.2500, 0.2500, 0.7500)  4 Pa 2.95, 4 Sc 2.95


Entry 12:
Entry from Alexandria via LeMat-Bulk: an optimized crystal structure of ScPaTlGa (PBE).

Properties
The calculation puts the total DFT energy (no corrections) at -0.395 Ry per atom. The total moment is 1.09 μB per formula unit. The formation energy is -25 kJ/mol of formula units.

a = 7.2200 Å, b = 7.2200 Å, c = 7.2200 Å
α = 90.00°, β = 90.00°, γ = 90.00°
With the nearest neighbours (Å) after each atom.
Space group F-43m (No. 216)
Unique sites:
Sc (0.0000, 0.0000, 0.0000)  4 Tl 3.13, 4 Ga 3.13
Pa (0.0000, 0.0000, 0.5000)  4 Tl 3.13, 4 Ga 3.13
Tl (0.2500, 0.2500, 0.2500)  4 Pa 3.13, 4 Sc 3.13
Ga (0.2500, 0.2500, 0.7500)  4 Pa 3.13, 4 Sc 3.13